Arrangement P

{"formula": "MgMn2P2H4O10", "functional": "PBE with a Hubbard U", "state": "relaxed", "cell": [[5.335, 0.000, 0.000], [-0.930, 5.521, 0.000], [-2.474, -2.147, 7.076]], "species": ["Mg", "Mn", "Mn", "P", "P", "H", "H", "H", "H", "O", "O", "O", "O", "O", "O", "O", "O", "O", "O"], "frac_coords": [[0.000, 0.000, 0.000], [0.419, 0.666, 0.125], [0.901, 0.112, 0.588], [0.332, 0.240, 0.371], [0.518, 0.115, 0.900], [0.784, 0.577, 0.416], [0.810, 0.519, 0.933], [0.901, 0.574, 0.761], [0.977, 0.759, 0.340], [0.197, 0.302, 0.514], [0.202, 0.023, 0.812], [0.229, 0.352, 0.200], [0.240, 0.944, 0.266], [0.596, 0.409, 0.983], [0.629, 0.981, 0.053], [0.649, 0.337, 0.468], [0.678, 0.049, 0.767], [0.818, 0.742, 0.381], [0.970, 0.616, 0.900]], "n_ef_per_ev_fu": 0.000, "rho_g_cm3": 2.870}

=====

Arrangement Q

{"formula": "MgMn2P2H4O10", "functional": "PBE with a Hubbard U", "state": "relaxed", "cell": [[5.138, 0.000, 0.000], [-1.331, 5.378, 0.000], [-1.268, -3.091, 7.511]], "species": ["Mg", "Mn", "Mn", "P", "P", "H", "H", "H", "H", "O", "O", "O", "O", "O", "O", "O", "O", "O", "O"], "frac_coords": [[0.000, 0.000, 0.000], [0.206, 0.004, 0.568], [0.773, 0.509, 0.120], [0.278, 0.644, 0.880], [0.288, 0.388, 0.331], [0.563, 0.037, 0.823], [0.631, 0.826, 0.394], [0.836, 0.036, 0.326], [0.867, 0.233, 0.796], [0.132, 0.702, 0.036], [0.133, 0.349, 0.749], [0.230, 0.855, 0.796], [0.365, 0.697, 0.431], [0.391, 0.319, 0.157], [0.395, 0.255, 0.451], [0.593, 0.700, 0.949], [0.759, 0.161, 0.875], [0.820, 0.877, 0.364], [0.962, 0.264, 0.249]], "n_ef_per_ev_fu": 0.000, "rho_g_cm3": 2.881}

=====

arrangement Q is the least stable structure shown above.